Record 1
Compound: Ta3TcS6
Source: the Alexandria database
Functional: PBE
Structure: relaxed

Computed properties:
As for the formation energy without anion corrections: -63 kJ per mole of atoms. As for the total magnetization: 4.4 Bohr magnetons per cell. The calculated density is 6.57 g/cm3.

a = 9.2019 Å, b = 9.2019 Å, c = 17.2433 Å
α = 90.00°, β = 90.00°, γ = 120.00°
Last column: nearest neighbours and their distance in Å.
Space group R-3 (No. 148, hexagonal axes)
Asymmetric unit:
Ta  0.0332  0.5915  0.3268 (multiplicity 18)  5 S 2.34-2.52
Tc  0.0000  0.0000  0.0000 (multiplicity 3)  6 S 2.47
Tc  0.0000  0.0000  0.5000 (multiplicity 3)  6 S 2.49
S  0.0541  0.8301  0.4045 (multiplicity 18)  1 Tc 2.49, 3 Ta 2.49-2.52
S  0.0608  0.8400  0.9032 (multiplicity 18)  2 Ta 2.34-2.42, 1 Tc 2.47

***

Record 2
Compound: TaTc2S
Source: the Alexandria database
Functional: PBE
Structure: relaxed

Computed properties:
As for the formation energy without anion corrections: 59 kJ per mole of atoms. As for the total magnetization: 0.0 Bohr magnetons per cell. The calculated density is 8.51 g/cm3.

a = 5.8915 Å, b = 5.8915 Å, c = 9.2003 Å
α = 90.00°, β = 90.00°, γ = 90.00°
Last column: nearest neighbours and their distance in Å.
Space group I-42d (No. 122)
Asymmetric unit:
Ta  0.0000  0.0000  0.0000 (multiplicity 4)  4 Tc 2.55
Tc  0.2053  0.2500  0.6250 (multiplicity 8)  2 S 2.23
S  0.0000  0.0000  0.5000 (multiplicity 4)  4 Tc 2.23

***

Record 3
Compound: Ta2TcS5
Source: the Alexandria database
Functional: PBE
Structure: relaxed

Computed properties:
As for the formation energy without anion corrections: -63 kJ per mole of atoms. As for the total magnetization: 0.9 Bohr magnetons per cell. The calculated density is 6.38 g/cm3.

a = 4.8076 Å, b = 12.2186 Å, c = 10.9969 Å
α = 90.00°, β = 90.00°, γ = 90.00°
Last column: nearest neighbours and their distance in Å.
Space group Cmcm (No. 63)
Asymmetric unit:
Ta  0.0000  0.1731  0.0339 (multiplicity 8)  4 S 2.29-2.49
Tc  0.0000  0.1936  0.7500 (multiplicity 4)  6 S 2.35-2.50
S  0.0000  0.0433  0.6160 (multiplicity 8)  1 Ta 2.29, 1 Tc 2.35
S  0.0000  0.2520  0.2500 (multiplicity 4)  2 Tc 2.49, 2 Ta 2.56
S  0.0000  0.3386  0.5899 (multiplicity 8)  3 Ta 2.44-2.49, 1 Tc 2.50

***

Record 4
Compound: TaTc3S
Source: the Alexandria database
Functional: PBE
Structure: relaxed

Computed properties:
As for the formation energy without anion corrections: 199 kJ per mole of atoms. As for the total magnetization: 2.8 Bohr magnetons per cell. The calculated density is 7.71 g/cm3.

a = 4.7801 Å, b = 4.7801 Å, c = 4.7801 Å
α = 90.00°, β = 90.00°, γ = 90.00°
Last column: nearest neighbours and their distance in Å.
Space group Pm-3m (No. 221)
Asymmetric unit:
Ta  0.0000  0.0000  0.0000 (multiplicity 1)  6 Tc 2.39
Tc  0.0000  0.0000  0.5000 (multiplicity 3)  2 Ta 2.39
S  0.5000  0.5000  0.5000 (multiplicity 1)  12 Tc 3.38

***

Record 5
Compound: TaTc3S
Source: the Alexandria database
Functional: PBE
Structure: relaxed

Computed properties:
As for the formation energy without anion corrections: 30 kJ per mole of atoms. As for the total magnetization: 0.0 Bohr magnetons per cell. The calculated density is 10.42 g/cm3.

a = 4.3235 Å, b = 4.3235 Å, c = 4.3235 Å
α = 90.00°, β = 90.00°, γ = 90.00°
Last column: nearest neighbours and their distance in Å.
Space group Pm-3m (No. 221)
Asymmetric unit:
Ta  0.0000  0.0000  0.0000 (multiplicity 1)  12 Tc 3.06
Tc  0.0000  0.5000  0.5000 (multiplicity 3)  2 S 2.16
S  0.5000  0.5000  0.5000 (multiplicity 1)  6 Tc 2.16

***

Record 6
Compound: Ta3TcS
Source: the Alexandria database
Functional: PBE
Structure: relaxed

Computed properties:
As for the formation energy without anion corrections: 45 kJ per mole of atoms. As for the total magnetization: 0.0 Bohr magnetons per cell. The calculated density is 12.27 g/cm3.

a = 4.4986 Å, b = 4.4986 Å, c = 4.4986 Å
α = 90.00°, β = 90.00°, γ = 90.00°
Last column: nearest neighbours and their distance in Å.
Space group Pm-3m (No. 221)
Asymmetric unit:
Ta  0.0000  0.0000  0.5000 (multiplicity 3)  2 S 2.25
Tc  0.5000  0.5000  0.5000 (multiplicity 1)  12 Ta 3.18
S  0.0000  0.0000  0.0000 (multiplicity 1)  6 Ta 2.25

***

Record 7
Compound: Ta3TcS
Source: the Alexandria database
Functional: PBE
Structure: relaxed

Computed properties:
As for the formation energy without anion corrections: 128 kJ per mole of atoms. As for the total magnetization: 0.0 Bohr magnetons per cell. The calculated density is 10.02 g/cm3.

a = 4.8132 Å, b = 4.8132 Å, c = 4.8132 Å
α = 90.00°, β = 90.00°, γ = 90.00°
Last column: nearest neighbours and their distance in Å.
Space group Pm-3m (No. 221)
Asymmetric unit:
Ta  0.0000  0.0000  0.5000 (multiplicity 3)  2 Tc 2.41
Tc  0.0000  0.0000  0.0000 (multiplicity 1)  6 Ta 2.41
S  0.5000  0.5000  0.5000 (multiplicity 1)  12 Ta 3.40

***

Record 8
Compound: Ta2TcS6
Source: the Alexandria database
Functional: PBE
Structure: relaxed

Computed properties:
As for the formation energy without anion corrections: -51 kJ per mole of atoms. As for the total magnetization: 0.0 Bohr magnetons per cell. The calculated density is 5.16 g/cm3.

a = 12.4082 Å, b = 3.9552 Å, c = 8.8197 Å
α = 90.00°, β = 103.88°, γ = 90.00°
Last column: nearest neighbours and their distance in Å.
Space group C2/m (No. 12)
Asymmetric unit:
Ta  0.2418  0.0000  0.1889 (multiplicity 4)  4 S 2.22-2.41
Tc  0.0000  0.0000  0.5000 (multiplicity 2)  6 S 2.33-2.45
S  0.0812  0.5000  0.6472 (multiplicity 4)  1 Ta 2.32, 2 Tc 2.45
S  0.1387  0.0000  0.3629 (multiplicity 4)  1 Ta 2.22, 1 Tc 2.33
S  0.1613  0.5000  0.0513 (multiplicity 4)  3 Ta 2.41-2.67

***

Record 9
Compound: TaTeS
Source: the Alexandria database
Functional: PBE
Structure: relaxed

Computed properties:
As for the formation energy without anion corrections: -62 kJ per mole of atoms. As for the total magnetization: 0.0 Bohr magnetons per cell. The calculated density is 7.53 g/cm3.

a = 3.5307 Å, b = 3.5307 Å, c = 6.9539 Å
α = 90.00°, β = 90.00°, γ = 120.00°
Last column: nearest neighbours and their distance in Å.
Space group P3m1 (No. 156)
Asymmetric unit:
Ta  0.0000  0.0000  0.0000 (multiplicity 1)  3 S 2.48
Te  0.6667  0.3333  0.2796 (multiplicity 1)  3 Ta 2.82
S  0.3333  0.6667  0.7964 (multiplicity 1)  3 Ta 2.48

***

Record 10
Compound: TaTeS
Source: the Alexandria database
Functional: PBE
Structure: relaxed

Computed properties:
As for the formation energy without anion corrections: -27 kJ per mole of atoms. As for the total magnetization: 0.0 Bohr magnetons per cell. The calculated density is 7.60 g/cm3.

a = 4.7091 Å, b = 5.4413 Å, c = 5.8127 Å
α = 90.00°, β = 92.64°, γ = 90.00°
Last column: nearest neighbours and their distance in Å.
Space group P2_1/m (No. 11)
Asymmetric unit:
Ta  0.0607  0.2500  0.1747 (multiplicity 2)  2 S 2.27-2.44
Te  0.0214  0.7500  0.3075 (multiplicity 2)  4 Ta 2.81-3.05
S  0.4557  0.7500  0.8062 (multiplicity 2)  2 Ta 2.27-2.44

***

Record 11
Compound: TaTe2S
Source: the Alexandria database
Functional: PBE
Structure: relaxed

Computed properties:
As for the formation energy without anion corrections: 11 kJ per mole of atoms. As for the total magnetization: 0.0 Bohr magnetons per cell. The calculated density is 7.38 g/cm3.

a = 3.7355 Å, b = 3.7355 Å, c = 26.1634 Å
α = 90.00°, β = 90.00°, γ = 120.00°
Last column: nearest neighbours and their distance in Å.
Space group R-3m (No. 166, hexagonal axes)
Asymmetric unit:
Ta  0.0000  0.0000  0.0000 (multiplicity 3)  6 Te 2.82
Te  0.0000  0.0000  0.4025 (multiplicity 6)  1 S 2.55, 3 Ta 2.82
S  0.0000  0.0000  0.5000 (multiplicity 3)  2 Te 2.55

***

Record 12
Compound: TaTeS3
Source: the Alexandria database
Functional: PBE
Structure: relaxed

Computed properties:
As for the formation energy without anion corrections: -8 kJ per mole of atoms. As for the total magnetization: 0.0 Bohr magnetons per cell. The calculated density is 6.05 g/cm3.

a = 4.8063 Å, b = 4.8063 Å, c = 4.8063 Å
α = 90.00°, β = 90.00°, γ = 90.00°
Last column: nearest neighbours and their distance in Å.
Space group Pm-3m (No. 221)
Asymmetric unit:
Ta  0.0000  0.0000  0.0000 (multiplicity 1)  6 S 2.40
Te  0.5000  0.5000  0.5000 (multiplicity 1)  12 S 3.40
S  0.0000  0.0000  0.5000 (multiplicity 3)  2 Ta 2.40